1.
# MnTlGaNi2 PBE-GGA optimized geometry
data_MnTlGaNi2
_cell_length_a 4.293
_cell_length_b 4.293
_cell_length_c 4.929
_cell_angle_alpha 90.00
_cell_angle_beta 90.00
_cell_angle_gamma 90.00
_symmetry_space_group_name_H-M 'P 4/m m m'
_symmetry_Int_Tables_number 123
_symmetry_space_group_name_Hall '-P 4 2'
loop_
_atom_site_label
_atom_site_fract_x
_atom_site_fract_y
_atom_site_fract_z
_atom_site_occupancy
Mn1 0.000 0.000 0.000 1
Tl1 0.500 0.500 0.000 1
Ga1 0.500 0.500 0.500 1
Ni1 0.000 0.500 0.500 1
# DFT total energy: -4.33 eV per atom
# M_tot: 4.35 μB/cell
# formation energy: 0.89 eV/atom

2.
# TlIn2F6 PBE-GGA optimized geometry
data_TlIn2F6
_cell_length_a 9.023
_cell_length_b 10.776
_cell_length_c 6.859
_cell_angle_alpha 90.00
_cell_angle_beta 111.72
_cell_angle_gamma 90.00
_symmetry_space_group_name_H-M 'C 1 2/c 1'
_symmetry_Int_Tables_number 15
loop_
_symmetry_equiv_pos_as_xyz
'x,y,z'
'-x,-y,-z'
'-x,y,-z+1/2'
'x,-y,z+1/2'
'x+1/2,y+1/2,z'
'-x+1/2,-y+1/2,-z'
'-x+1/2,y+1/2,-z+1/2'
'x+1/2,-y+1/2,z+1/2'
loop_
_atom_site_label
_atom_site_fract_x
_atom_site_fract_y
_atom_site_fract_z
_atom_site_occupancy
Tl1 0.000 0.173 0.250 1
In1 0.178 0.410 0.010 1
F1 0.053 0.397 0.466 1
F2 0.189 0.246 0.805 1
F3 0.201 0.005 0.670 1
# energy relative to the lowest polymorph listed for this composition: 0.1005 eV per atom
# DFT total energy: -4.24 eV per atom
# M_tot: 0.00 μB/cell
# ΔE_f (raw): -19.07 eV per formula unit

3.
# LaTaS2N PBE-GGA optimized geometry
data_LaTaS2N
_cell_length_a 5.448
_cell_length_b 5.448
_cell_length_c 4.021
_cell_angle_alpha 90.00
_cell_angle_beta 90.00
_cell_angle_gamma 90.00
_symmetry_space_group_name_H-M 'P 4/m m m'
_symmetry_Int_Tables_number 123
_symmetry_space_group_name_Hall '-P 4 2'
loop_
_atom_site_label
_atom_site_fract_x
_atom_site_fract_y
_atom_site_fract_z
_atom_site_occupancy
La1 0.000 0.000 0.000 1
Ta1 0.500 0.500 0.500 1
S1 0.000 0.500 0.000 1
N1 0.000 0.000 0.500 1
# energy relative to the lowest polymorph listed for this composition: 2.0657 eV per atom
# DFT total energy: -5.87 eV per atom
# M_tot: 1.81 μB/cell
# ΔE_f (raw): 4.03 eV per formula unit

4.
# Na3VIn3Se8 PBE-GGA optimized geometry
data_Na3VIn3Se8
_cell_length_a 7.8902
_cell_length_b 7.8902
_cell_length_c 21.4880
_cell_angle_alpha 90.00
_cell_angle_beta 90.00
_cell_angle_gamma 120.00
_symmetry_space_group_name_H-M 'R -3 m'
_symmetry_Int_Tables_number 166
_symmetry_space_group_name_Hall '-R 3 2"'
loop_
_atom_site_label
_atom_site_fract_x
_atom_site_fract_y
_atom_site_fract_z
_atom_site_occupancy
Na1 0.0000 0.5000 0.0000 1
V1 0.0000 0.0000 0.5000 1
In1 0.0000 0.5000 0.5000 1
Se1 0.0000 0.0000 0.2398 1
Se2 0.0259 0.5129 0.2359 1
# DFT total energy: -4.00 eV per atom
# M_tot: 2.85 μB/cell
# ΔE_f (raw): -10.77 eV per formula unit

5.
# Mg2OsAu PBE-GGA optimized geometry
data_Mg2OsAu
_cell_length_a 6.464
_cell_length_b 6.464
_cell_length_c 6.464
_cell_angle_alpha 90.00
_cell_angle_beta 90.00
_cell_angle_gamma 90.00
_symmetry_space_group_name_H-M 'F -4 3 m'
_symmetry_Int_Tables_number 216
_symmetry_space_group_name_Hall 'F -4 2 3'
loop_
_atom_site_label
_atom_site_fract_x
_atom_site_fract_y
_atom_site_fract_z
_atom_site_occupancy
Mg1 0.000 0.000 0.000 1
Mg2 0.250 0.250 0.250 1
Os1 0.000 0.000 0.500 1
Au1 0.250 0.250 0.750 1
# DFT total energy: -4.23 eV per atom
# M_tot: 1.35 μB/cell
# formation energy: 0.20 eV/atom

6.
# CdRh3 PBE-GGA optimized geometry
data_CdRh3
_cell_length_a 5.631
_cell_length_b 9.689
_cell_length_c 4.536
_cell_angle_alpha 90.00
_cell_angle_beta 90.00
_cell_angle_gamma 90.00
_symmetry_space_group_name_H-M 'C m c m'
_symmetry_Int_Tables_number 63
_symmetry_space_group_name_Hall '-C 2c 2'
loop_
_atom_site_label
_atom_site_fract_x
_atom_site_fract_y
_atom_site_fract_z
_atom_site_occupancy
Cd1 0.000 0.084 0.250 1
Rh1 0.000 0.419 0.750 1
Rh2 0.239 0.331 0.250 1
# DFT total energy: -5.67 eV per atom
# M_tot: 0.00 μB/cell
# formation energy: 0.07 eV/atom

7.
# Ca2LaZn2 PBE-GGA optimized geometry
data_Ca2LaZn2
_cell_length_a 4.588
_cell_length_b 4.588
_cell_length_c 14.654
_cell_angle_alpha 90.00
_cell_angle_beta 90.00
_cell_angle_gamma 90.00
_symmetry_space_group_name_H-M 'I 4/m m m'
_symmetry_Int_Tables_number 139
_symmetry_space_group_name_Hall '-I 4 2'
loop_
_atom_site_label
_atom_site_fract_x
_atom_site_fract_y
_atom_site_fract_z
_atom_site_occupancy
Ca1 0.000 0.000 0.122 1
La1 0.000 0.000 0.500 1
Zn1 0.000 0.500 0.250 1
# energy relative to the lowest polymorph listed for this composition: 0.3163 eV per atom
# DFT total energy: -2.16 eV per atom
# M_tot: 0.00 μB/cell
# formation energy: 0.13 eV/atom

8.
# SnBRuRh PBE-GGA optimized geometry
data_SnBRuRh
_cell_length_a 3.2128
_cell_length_b 3.2128
_cell_length_c 19.3448
_cell_angle_alpha 90.00
_cell_angle_beta 90.00
_cell_angle_gamma 120.00
_symmetry_space_group_name_H-M 'R 3 m'
_symmetry_Int_Tables_number 160
_symmetry_space_group_name_Hall 'R 3 -2"'
loop_
_atom_site_label
_atom_site_fract_x
_atom_site_fract_y
_atom_site_fract_z
_atom_site_occupancy
Sn1 0.0000 0.0000 0.0000 1
B1 0.0000 0.0000 0.4998 1
Ru1 0.0000 0.0000 0.7748 1
Rh1 0.0000 0.0000 0.2225 1
# energy relative to the lowest polymorph listed for this composition: 0.0000 eV per atom
# DFT total energy: -7.04 eV per atom
# M_tot: 0.00 μB/cell
# formation energy: -0.21 eV/atom

9.
# TaV3Cu PBE-GGA optimized geometry
data_TaV3Cu
_cell_length_a 4.613
_cell_length_b 4.613
_cell_length_c 4.613
_cell_angle_alpha 90.00
_cell_angle_beta 90.00
_cell_angle_gamma 90.00
_symmetry_space_group_name_H-M 'P m -3 m'
_symmetry_Int_Tables_number 221
_symmetry_space_group_name_Hall '-P 4 2 3'
loop_
_atom_site_label
_atom_site_fract_x
_atom_site_fract_y
_atom_site_fract_z
_atom_site_occupancy
Ta1 0.000 0.000 0.000 1
V1 0.000 0.000 0.500 1
Cu1 0.500 0.500 0.500 1
# energy relative to the lowest polymorph listed for this composition: 0.4743 eV per atom
# DFT total energy: -7.00 eV per atom
# M_tot: 2.41 μB/cell
# formation energy: 1.66 eV/atom

10.
# CaPmGe2 PBE-GGA optimized geometry
data_CaPmGe2
_cell_length_a 3.370
_cell_length_b 3.370
_cell_length_c 8.430
_cell_angle_alpha 90.00
_cell_angle_beta 90.00
_cell_angle_gamma 90.00
_symmetry_space_group_name_H-M 'P 4/m m m'
_symmetry_Int_Tables_number 123
_symmetry_space_group_name_Hall '-P 4 2'
loop_
_atom_site_label
_atom_site_fract_x
_atom_site_fract_y
_atom_site_fract_z
_atom_site_occupancy
Ca1 0.000 0.000 0.000 1
Pm1 0.000 0.000 0.500 1
Ge1 0.500 0.500 0.250 1
# DFT total energy: -4.57 eV per atom
# M_tot: 0.00 μB/cell
# formation energy: -0.57 eV/atom

11.
# NaLiAgPd PBE-GGA optimized geometry
data_NaLiAgPd
_cell_length_a 3.009
_cell_length_b 3.009
_cell_length_c 7.636
_cell_angle_alpha 90.00
_cell_angle_beta 90.00
_cell_angle_gamma 90.00
_symmetry_space_group_name_H-M 'P 4 m m'
_symmetry_Int_Tables_number 99
loop_
_symmetry_equiv_pos_as_xyz
'x,y,z'
'-y,x,z'
'-x,-y,z'
'y,-x,z'
'-x,y,z'
'y,x,z'
'x,-y,z'
'-y,-x,z'
loop_
_atom_site_label
_atom_site_fract_x
_atom_site_fract_y
_atom_site_fract_z
_atom_site_occupancy
Na1 0.000 0.000 0.000 1
Li1 0.000 0.000 0.466 1
Ag1 0.500 0.500 0.691 1
Pd1 0.500 0.500 0.277 1
# energy relative to the lowest polymorph listed for this composition: 0.0000 eV per atom
# DFT total energy: -3.00 eV per atom
# M_tot: 0.00 μB/cell
# formation energy: -0.18 eV/atom

12.
# CsRbI2N PBE-GGA optimized geometry
data_CsRbI2N
_cell_length_a 7.208
_cell_length_b 7.208
_cell_length_c 5.768
_cell_angle_alpha 90.00
_cell_angle_beta 90.00
_cell_angle_gamma 90.00
_symmetry_space_group_name_H-M 'P 4/m m m'
_symmetry_Int_Tables_number 123
_symmetry_space_group_name_Hall '-P 4 2'
loop_
_atom_site_label
_atom_site_fract_x
_atom_site_fract_y
_atom_site_fract_z
_atom_site_occupancy
Cs1 0.000 0.000 0.000 1
Rb1 0.500 0.500 0.500 1
I1 0.000 0.500 0.000 1
N1 0.000 0.000 0.500 1
# energy relative to the lowest polymorph listed for this composition: 0.0933 eV per atom
# DFT total energy: -2.62 eV per atom
# M_tot: 2.93 μB/cell
# ΔE_f (raw): 0.15 eV per formula unit